# 1
DFT (PBE-GGA) results for an optimized crystal structure of Te2AsAu.

Cell lengths 3.0930, 4.1298, 8.1273 Å; angles 90.00, 90.55, 90.00 degrees
Fractional coordinates of all 4 atoms:
Te1 0.0018 0.0000 0.2581
Te2 0.9982 0.0000 0.7419
As1 0.0000 0.5000 0.0000
Au1 0.0000 0.5000 0.5000

Symmetry = P2/m, No. 10
ΔE_f (raw) = 0.06 eV/atom

---

# 2
DFT (PBE-GGA) results for an optimized crystal structure of Te2AsAu.

Cell lengths 11.3936, 11.3936, 11.3936 Å; angles 16.04, 16.04, 16.04 degrees
Fractional coordinates of all 4 atoms:
Te1 0.0876 0.0876 0.0876
Te2 0.9124 0.9124 0.9124
As1 0.0000 0.0000 0.0000
Au1 0.5000 0.5000 0.5000

Symmetry = R-3m, No. 166
ΔE_f (raw) = 0.37 eV/atom

---

# 3
DFT (PBE-GGA) results for an optimized crystal structure of TeAsAu.

Cell lengths 7.2009, 7.2009, 7.2009 Å; angles 154.00, 154.00, 37.10 degrees
Fractional coordinates of all 3 atoms:
Te1 0.0000 0.0000 0.0000
As1 0.3055 0.3055 0.0000
Au1 0.7034 0.7034 0.0000

Symmetry = I4mm, No. 107
ΔE_f (raw) = 0.33 eV/atom

---

# 4
DFT (PBE-GGA) results for an optimized crystal structure of TeAs2Au.

Cell lengths 4.0344, 4.0344, 5.5539 Å; angles 90.00, 90.00, 90.00 degrees
Fractional coordinates of all 4 atoms:
Te1 0.0000 0.0000 0.0000
As1 0.0000 0.0000 0.5000
As2 0.5000 0.5000 0.5000
Au1 0.5000 0.5000 0.0000

Symmetry = P4/mmm, No. 123
ΔE_f (raw) = 0.10 eV/atom

---

# 5
DFT (PBE-GGA) results for an optimized crystal structure of Te2AsAu2.

Cell lengths 8.0048, 8.0048, 3.8241 Å; angles 90.00, 90.00, 90.00 degrees
Fractional coordinates of all 10 atoms:
Te1 0.1972 0.3028 0.0000
Te2 0.3028 0.8028 0.0000
Te3 0.6972 0.1972 0.0000
Te4 0.8028 0.6972 0.0000
As1 0.0000 0.0000 0.0000
As2 0.5000 0.5000 0.0000
Au1 0.1208 0.6208 0.5000
Au2 0.3792 0.1208 0.5000
Au3 0.6208 0.8792 0.5000
Au4 0.8792 0.3792 0.5000

Symmetry = P4/mbm, No. 127
ΔE_f (raw) = 0.25 eV/atom
E above lowest polymorph = 0.0 kJ/mol of atoms

---

# 6
DFT (PBE-GGA) results for an optimized crystal structure of TeAs2Au.

Cell lengths 2.9644, 5.5629, 5.6173 Å; angles 90.00, 90.14, 90.00 degrees
Fractional coordinates of all 4 atoms:
Te1 0.0000 0.0000 0.0000
As1 0.0019 0.0000 0.5000
As2 0.0016 0.5000 0.5000
Au1 0.0009 0.5000 0.0001

Symmetry = Pm, No. 6
ΔE_f (raw) = 0.14 eV/atom

---

# 7
DFT (PBE-GGA) results for an optimized crystal structure of Te3AsAu.

Cell lengths 5.3841, 5.3841, 5.3841 Å; angles 90.00, 90.00, 90.00 degrees
Fractional coordinates of all 5 atoms:
Te1 0.0000 0.0000 0.5000
Te2 0.0000 0.5000 0.0000
Te3 0.5000 0.0000 0.0000
As1 0.5000 0.5000 0.5000
Au1 0.0000 0.0000 0.0000

Symmetry = Pm-3m, No. 221
ΔE_f (raw) = 0.74 eV/atom
E above lowest polymorph = 60.6 kJ/mol of atoms

---

# 8
DFT (PBE-GGA) results for an optimized crystal structure of Te4AsAu2.

Cell lengths 7.3988, 7.3988, 7.3988 Å; angles 133.15, 133.15, 68.42 degrees
Fractional coordinates of all 7 atoms:
Te1 0.0988 0.6839 0.0000
Te2 0.3161 0.3161 0.4149
Te3 0.6839 0.0988 0.0000
Te4 0.9012 0.9012 0.5851
As1 0.5000 0.5000 0.0000
Au1 0.2500 0.7500 0.5000
Au2 0.7500 0.2500 0.5000

Symmetry = I-42m, No. 121
ΔE_f (raw) = 0.06 eV/atom

---

# 9
DFT (PBE-GGA) results for an optimized crystal structure of TeAs2Au.

Cell lengths 3.5058, 4.7696, 5.0936 Å; angles 90.00, 90.00, 90.00 degrees
Fractional coordinates of all 4 atoms:
Te1 0.0000 0.0000 0.0000
As1 0.0000 0.5000 0.5000
As2 0.5000 0.5000 0.0000
Au1 0.5000 0.0000 0.5000

Symmetry = Pmmm, No. 47
ΔE_f (raw) = 0.43 eV/atom

---

# 10
DFT (PBE-GGA) results for an optimized crystal structure of TeAsAu.

Cell lengths 6.2344, 5.8824, 9.0556 Å; angles 90.00, 91.85, 90.00 degrees
Fractional coordinates of all 12 atoms:
Te1 0.1305 0.2020 0.1102
Te2 0.1305 0.2980 0.6102
Te3 0.8695 0.7020 0.3898
Te4 0.8695 0.7980 0.8898
As1 0.3697 0.5790 0.1221
As2 0.3697 0.9210 0.6221
As3 0.6303 0.0790 0.3779
As4 0.6303 0.4210 0.8779
Au1 0.2544 0.5914 0.8419
Au2 0.2544 0.9086 0.3419
Au3 0.7456 0.0914 0.6581
Au4 0.7456 0.4086 0.1581

Symmetry = P2_1/c, No. 14
ΔE_f (raw) = -0.01 eV/atom

---

# 11
DFT (PBE-GGA) results for an optimized crystal structure of Te4As3Au.

Cell lengths 7.1681, 7.1681, 7.1681 Å; angles 131.25, 131.25, 71.42 degrees
Fractional coordinates of all 8 atoms:
Te1 0.0000 0.5000 0.5000
Te2 0.2491 0.2491 0.0000
Te3 0.5000 0.0000 0.5000
Te4 0.7509 0.7509 0.0000
As1 0.2500 0.7500 0.5000
As2 0.5000 0.5000 0.0000
As3 0.7500 0.2500 0.5000
Au1 0.0000 0.0000 0.0000

Symmetry = I4/mmm, No. 139
ΔE_f (raw) = 0.02 eV/atom

---

# 12
DFT (PBE-GGA) results for an optimized crystal structure of TeAs2Au.

Cell lengths 6.8955, 6.8955, 6.8955 Å; angles 33.83, 33.83, 33.83 degrees
Fractional coordinates of all 4 atoms:
Te1 0.0000 0.0000 0.0000
As1 0.2382 0.2382 0.2382
As2 0.4952 0.4952 0.4952
Au1 0.7534 0.7534 0.7534

Symmetry = R3m, No. 160
ΔE_f (raw) = 0.08 eV/atom

---

# 13
DFT (PBE-GGA) results for an optimized crystal structure of TeAs2Au.

Cell lengths 5.7789, 5.7789, 5.7789 Å; angles 150.66, 94.79, 92.56 degrees
Fractional coordinates of all 4 atoms:
Te1 0.0000 0.0000 0.0000
As1 0.0087 0.2467 0.7620
As2 0.4847 0.2467 0.2380
Au1 0.4979 0.4979 0.0000

Symmetry = Imm2, No. 44
ΔE_f (raw) = 0.24 eV/atom

---

# 14
DFT (PBE-GGA) results for an optimized crystal structure of TeAs2Au.

Cell lengths 3.0224, 3.0224, 10.3611 Å; angles 90.00, 90.00, 107.36 degrees
Fractional coordinates of all 4 atoms:
Te1 0.0000 0.0000 0.0000
As1 0.5000 0.5000 0.3017
As2 0.5000 0.5000 0.6983
Au1 0.0000 0.0000 0.5000

Symmetry = Cmmm, No. 65
ΔE_f (raw) = 0.33 eV/atom

---

# 15
DFT (PBE-GGA) results for an optimized crystal structure of Te2As2Au.

Cell lengths 5.7835, 5.7835, 5.7835 Å; angles 120.85, 120.85, 88.53 degrees
Fractional coordinates of all 5 atoms:
Te1 0.2500 0.7500 0.5000
Te2 0.7500 0.2500 0.5000
As1 0.1969 0.1969 0.0000
As2 0.8031 0.8031 0.0000
Au1 0.5000 0.5000 0.0000

Symmetry = I4/mmm, No. 139
ΔE_f (raw) = 0.16 eV/atom
E above lowest polymorph = 0.0 kJ/mol of atoms

---

# 16
DFT (PBE-GGA) results for an optimized crystal structure of Te2AsAu.

Cell lengths 5.1024, 5.1024, 5.1024 Å; angles 60.00, 60.00, 60.00 degrees
Fractional coordinates of all 4 atoms:
Te1 0.0000 0.0000 0.0000
Te2 0.2500 0.2500 0.2500
As1 0.7500 0.7500 0.7500
Au1 0.5000 0.5000 0.5000

Symmetry = F-43m, No. 216
ΔE_f (raw) = 0.44 eV/atom

---

# 17
DFT (PBE-GGA) results for an optimized crystal structure of TeAs2Au.

Cell lengths 2.9430, 2.9430, 10.9712 Å; angles 90.00, 90.00, 90.00 degrees
Fractional coordinates of all 4 atoms:
Te1 0.0000 0.0000 0.0000
As1 0.5000 0.5000 0.3130
As2 0.5000 0.5000 0.6870
Au1 0.0000 0.0000 0.5000

Symmetry = P4/mmm, No. 123
ΔE_f (raw) = 0.32 eV/atom

---

# 18
DFT (PBE-GGA) results for an optimized crystal structure of Te3AsAu.

Cell lengths 5.8574, 5.8607, 8.8641 Å; angles 89.95, 73.68, 89.99 degrees
Fractional coordinates of all 10 atoms:
Te1 0.0000 0.0000 0.0000
Te2 0.1249 0.5000 0.6823
Te3 0.3027 0.2004 0.3593
Te4 0.4660 0.4526 0.0275
Te5 0.6591 0.9528 0.6547
Te6 0.8229 0.6998 0.3222
As1 0.4203 0.0017 0.0766
As2 0.7046 0.5020 0.6057
Au1 0.1590 0.9971 0.6632
Au2 0.9662 0.4969 0.0188

Symmetry = P1, No. 1
ΔE_f (raw) = 0.11 eV/atom
E above lowest polymorph = 0.0 kJ/mol of atoms

---

# 19
DFT (PBE-GGA) results for an optimized crystal structure of Te6As2Au.

Cell lengths 10.0466, 10.0466, 6.5601 Å; angles 92.45, 92.45, 67.04 degrees
Fractional coordinates of all 18 atoms:
Te1 0.0134 0.6730 0.3377
Te2 0.0873 0.7777 0.8692
Te3 0.2223 0.9127 0.6308
Te4 0.3236 0.4294 0.9340
Te5 0.3270 0.9866 0.1623
Te6 0.4294 0.3236 0.4340
Te7 0.5706 0.6764 0.5660
Te8 0.6730 0.0134 0.8377
Te9 0.6764 0.5706 0.0660
Te10 0.7777 0.0873 0.3692
Te11 0.9127 0.2223 0.1308
Te12 0.9866 0.3270 0.6623
As1 0.1711 0.3965 0.2446
As2 0.3965 0.1711 0.7446
As3 0.6035 0.8289 0.2554
As4 0.8289 0.6035 0.7554
Au1 0.1728 0.8272 0.2500
Au2 0.8272 0.1728 0.7500

Symmetry = C2/c, No. 15
ΔE_f (raw) = 0.08 eV/atom

---

# 20
DFT (PBE-GGA) results for an optimized crystal structure of Te3AsAu.

Cell lengths 5.3856, 5.3856, 5.3856 Å; angles 90.00, 90.00, 90.00 degrees
Fractional coordinates of all 5 atoms:
Te1 0.0000 0.0000 0.5000
Te2 0.0000 0.5000 0.0000
Te3 0.5000 0.0000 0.0000
As1 0.0000 0.0000 0.0000
Au1 0.5000 0.5000 0.5000

Symmetry = Pm-3m, No. 221
ΔE_f (raw) = 0.72 eV/atom
E above lowest polymorph = 58.9 kJ/mol of atoms

---

# 21
DFT (PBE-GGA) results for an optimized crystal structure of TeAs4Au.

Cell lengths 5.8481, 5.8481, 5.8481 Å; angles 60.00, 60.00, 60.00 degrees
Fractional coordinates of all 6 atoms:
Te1 0.0000 0.0000 0.0000
As1 0.1725 0.6092 0.6092
As2 0.6092 0.1725 0.6092
As3 0.6092 0.6092 0.1725
As4 0.6092 0.6092 0.6092
Au1 0.2500 0.2500 0.2500

Symmetry = F-43m, No. 216
ΔE_f (raw) = 0.53 eV/atom

---

# 22
DFT (PBE-GGA) results for an optimized crystal structure of Te2AsAu.

Cell lengths 6.7646, 6.7646, 6.7646 Å; angles 144.70, 143.29, 51.84 degrees
Fractional coordinates of all 4 atoms:
Te1 0.1675 0.1675 0.0000
Te2 0.8325 0.8325 0.0000
As1 0.5000 0.0000 0.5000
Au1 0.0000 0.5000 0.5000

Symmetry = Immm, No. 71
ΔE_f (raw) = 0.15 eV/atom

---

# 23
DFT (PBE-GGA) results for an optimized crystal structure of TeAsAu.

Cell lengths 4.0307, 4.4625, 4.7602 Å; angles 89.87, 90.00, 63.39 degrees
Fractional coordinates of all 3 atoms:
Te1 0.0000 0.0000 0.0000
As1 0.7616 0.4831 0.3860
Au1 0.3751 0.2530 0.6684

Symmetry = P1, No. 1
ΔE_f (raw) = -0.03 eV/atom

---

# 24
DFT (PBE-GGA) results for an optimized crystal structure of Te4AsAu.

Cell lengths 6.2238, 6.2238, 6.2238 Å; angles 60.00, 60.00, 60.00 degrees
Fractional coordinates of all 6 atoms:
Te1 0.1246 0.1246 0.1246
Te2 0.1246 0.1246 0.6263
Te3 0.1246 0.6263 0.1246
Te4 0.6263 0.1246 0.1246
As1 0.7500 0.7500 0.7500
Au1 0.5000 0.5000 0.5000

Symmetry = F-43m, No. 216
ΔE_f (raw) = 0.77 eV/atom
E above lowest polymorph = 74.9 kJ/mol of atoms

---

# 25
DFT (PBE-GGA) results for an optimized crystal structure of TeAs2Au.

Cell lengths 3.1781, 3.1781, 9.4694 Å; angles 90.00, 90.00, 110.23 degrees
Fractional coordinates of all 4 atoms:
Te1 0.0000 0.0000 0.0000
As1 0.0000 0.0000 0.4770
As2 0.5000 0.5000 0.6764
Au1 0.5000 0.5000 0.2480

Symmetry = Cmm2, No. 35
ΔE_f (raw) = 0.37 eV/atom

---

# 26
DFT (PBE-GGA) results for an optimized crystal structure of Te2AsAu.

Cell lengths 7.5973, 7.5973, 7.5973 Å; angles 30.97, 30.97, 30.97 degrees
Fractional coordinates of all 4 atoms:
Te1 0.0000 0.0000 0.0000
Te2 0.1702 0.1702 0.1702
As1 0.5869 0.5869 0.5869
Au1 0.4172 0.4172 0.4172

Symmetry = R3m, No. 160
ΔE_f (raw) = 0.09 eV/atom

---

# 27
DFT (PBE-GGA) results for an optimized crystal structure of TeAsAu.

Cell lengths 4.4474, 6.3096, 6.3586 Å; angles 66.51, 70.52, 70.39 degrees
Fractional coordinates of all 6 atoms:
Te1 0.0000 0.0000 0.0000
Te2 0.2167 0.4035 0.9774
As1 0.0077 0.1701 0.5090
As2 0.5444 0.5320 0.4843
Au1 0.6017 0.6915 0.0028
Au2 0.7553 0.8578 0.5052

Symmetry = P1, No. 1
ΔE_f (raw) = 0.04 eV/atom